# 1
The following is a GGA-PBE calculation of a relaxed structure of TbErNp2Sb4, from the Alexandria database.

CIF file:
```
data_TbErNp2Sb4
_symmetry_space_group_name_H-M 'P 1'
_symmetry_Int_Tables_number 1
_symmetry_space_group_name_Hall 'P 1'
_cell_length_a 7.573
_cell_length_b 4.379
_cell_length_c 7.636
_cell_angle_alpha 90.00
_cell_angle_beta 109.35
_cell_angle_gamma 90.00
loop_
_atom_site_label
_atom_site_fract_x
_atom_site_fract_y
_atom_site_fract_z
Tb1 0.000 0.000 0.000
Er1 0.500 0.500 0.000
Np1 0.000 0.500 0.500
Np2 0.500 0.000 0.500
Sb1 0.251 0.500 0.249
Sb2 0.252 0.000 0.752
Sb3 0.748 0.000 0.248
Sb4 0.749 0.500 0.751
```

Results
M_tot = 7.884 μB/f.u.
uncorrected formation energy = -0.651 eV/atom

---

# 2
The following is a GGA-PBE calculation of a relaxed structure of TiCrCuS4, from the Alexandria database.

CIF file:
```
data_TiCrCuS4
_symmetry_space_group_name_H-M 'P 1'
_symmetry_Int_Tables_number 1
_symmetry_space_group_name_Hall 'P 1'
_cell_length_a 5.900
_cell_length_b 7.011
_cell_length_c 12.512
_cell_angle_alpha 73.93
_cell_angle_beta 89.95
_cell_angle_gamma 89.93
loop_
_atom_site_label
_atom_site_fract_x
_atom_site_fract_y
_atom_site_fract_z
Ti1 0.000 0.000 0.000
Ti2 0.010 0.456 0.509
Ti3 0.050 0.486 0.019
Ti4 0.512 0.741 0.516
Cr1 0.025 0.970 0.511
Cr2 0.520 0.225 0.013
Cr3 0.527 0.223 0.513
Cr4 0.527 0.722 0.011
Cu1 0.105 0.985 0.769
Cu2 0.457 0.451 0.264
Cu3 0.595 0.487 0.755
Cu4 0.944 0.962 0.259
S1 0.180 0.778 0.397
S2 0.185 0.163 0.127
S3 0.198 0.278 0.396
S4 0.203 0.661 0.133
S5 0.350 0.926 0.630
S6 0.360 0.025 0.901
S7 0.362 0.411 0.625
S8 0.369 0.535 0.896
S9 0.679 0.531 0.397
S10 0.683 0.922 0.126
S11 0.687 0.417 0.122
S12 0.695 0.027 0.396
S13 0.847 0.295 0.892
S14 0.860 0.664 0.625
S15 0.861 0.160 0.628
S16 0.863 0.773 0.897
```

Results
M_tot = 3.011 μB/f.u.
uncorrected formation energy = -0.824 eV/atom
E above lowest polymorph = 80 meV per atom

---

# 3
The following is a GGA-PBE calculation of a relaxed structure of Os2C, from the Alexandria database.

CIF file:
```
data_Os2C
_symmetry_space_group_name_H-M 'P 1'
_symmetry_Int_Tables_number 1
_symmetry_space_group_name_Hall 'P 1'
_cell_length_a 5.309
_cell_length_b 5.309
_cell_length_c 5.309
_cell_angle_alpha 30.77
_cell_angle_beta 30.77
_cell_angle_gamma 30.77
loop_
_atom_site_label
_atom_site_fract_x
_atom_site_fract_y
_atom_site_fract_z
Os1 0.240 0.240 0.240
Os2 0.760 0.760 0.760
C1 0.000 0.000 0.000
```

Results
M_tot = 0.000 μB/f.u.
E above lowest polymorph = 258 meV per atom

---

# 4
The following is a GGA-PBE calculation of a relaxed structure of AcBiH8Ru2, from the Alexandria database.

CIF file:
```
data_AcBiH8Ru2
_symmetry_space_group_name_H-M 'P 1'
_symmetry_Int_Tables_number 1
_symmetry_space_group_name_Hall 'P 1'
_cell_length_a 6.661
_cell_length_b 6.661
_cell_length_c 6.661
_cell_angle_alpha 44.55
_cell_angle_beta 44.55
_cell_angle_gamma 44.55
loop_
_atom_site_label
_atom_site_fract_x
_atom_site_fract_y
_atom_site_fract_z
Ac1 0.000 0.000 0.000
Bi1 0.500 0.500 0.500
H1 0.020 0.606 0.022
H2 0.022 0.020 0.606
H3 0.300 0.300 0.300
H4 0.394 0.978 0.980
H5 0.606 0.022 0.020
H6 0.700 0.700 0.700
H7 0.978 0.980 0.394
H8 0.980 0.394 0.978
Ru1 0.204 0.204 0.204
Ru2 0.796 0.796 0.796
```

Results
M_tot = 0.000 μB/f.u.

---

# 5
The following is a GGA-PBE calculation of a relaxed structure of TbPr6Nd8, from the Alexandria database.

CIF file:
```
data_TbPr6Nd8
_symmetry_space_group_name_H-M 'P 1'
_symmetry_Int_Tables_number 1
_symmetry_space_group_name_Hall 'P 1'
_cell_length_a 9.625
_cell_length_b 9.625
_cell_length_c 6.762
_cell_angle_alpha 90.00
_cell_angle_beta 90.00
_cell_angle_gamma 120.00
loop_
_atom_site_label
_atom_site_fract_x
_atom_site_fract_y
_atom_site_fract_z
Tb1 0.000 0.000 0.000
Pr1 0.084 0.431 0.160
Pr2 0.347 0.916 0.160
Pr3 0.431 0.347 0.840
Pr4 0.569 0.653 0.160
Pr5 0.653 0.084 0.840
Pr6 0.916 0.569 0.840
Nd1 0.029 0.281 0.663
Nd2 0.252 0.971 0.663
Nd3 0.281 0.252 0.337
Nd4 0.333 0.667 0.610
Nd5 0.667 0.333 0.390
Nd6 0.719 0.748 0.663
Nd7 0.748 0.029 0.337
Nd8 0.971 0.719 0.337
```

Results
M_tot = 0.000 μB/f.u.
E above lowest polymorph = 50 meV per atom

---

# 6
The following is a GGA-PBE calculation of a relaxed structure of RbTiS2, from the Alexandria database.

CIF file:
```
data_RbTiS2
_symmetry_space_group_name_H-M 'P 1'
_symmetry_Int_Tables_number 1
_symmetry_space_group_name_Hall 'P 1'
_cell_length_a 6.596
_cell_length_b 6.596
_cell_length_c 18.161
_cell_angle_alpha 100.38
_cell_angle_beta 100.38
_cell_angle_gamma 90.12
loop_
_atom_site_label
_atom_site_fract_x
_atom_site_fract_y
_atom_site_fract_z
Rb1 0.046 0.797 0.595
Rb2 0.203 0.954 0.905
Rb3 0.214 0.465 0.926
Rb4 0.465 0.214 0.426
Rb5 0.535 0.786 0.574
Rb6 0.786 0.535 0.074
Rb7 0.797 0.046 0.095
Rb8 0.954 0.203 0.405
Ti1 0.096 0.345 0.690
Ti2 0.337 0.589 0.175
Ti3 0.345 0.096 0.190
Ti4 0.411 0.663 0.325
Ti5 0.589 0.337 0.675
Ti6 0.655 0.904 0.810
Ti7 0.663 0.411 0.825
Ti8 0.904 0.655 0.310
S1 0.141 0.392 0.250
S2 0.141 0.859 0.250
S3 0.194 0.709 0.419
S4 0.277 0.289 0.581
S5 0.289 0.277 0.081
S6 0.291 0.806 0.081
S7 0.392 0.141 0.750
S8 0.393 0.607 0.750
S9 0.607 0.393 0.250
S10 0.608 0.859 0.250
S11 0.709 0.194 0.919
S12 0.711 0.723 0.919
S13 0.723 0.711 0.419
S14 0.806 0.291 0.581
S15 0.859 0.141 0.750
S16 0.859 0.608 0.750
```

Results
M_tot = 0.622 μB/f.u.
uncorrected formation energy = -1.184 eV/atom

---

# 7
The following is a GGA-PBE calculation of a relaxed structure of Mg2CoRh, from the Alexandria database.

CIF file:
```
data_Mg2CoRh
_symmetry_space_group_name_H-M 'P 1'
_symmetry_Int_Tables_number 1
_symmetry_space_group_name_Hall 'P 1'
_cell_length_a 4.794
_cell_length_b 4.794
_cell_length_c 4.794
_cell_angle_alpha 131.57
_cell_angle_beta 131.57
_cell_angle_gamma 70.91
loop_
_atom_site_label
_atom_site_fract_x
_atom_site_fract_y
_atom_site_fract_z
Mg1 0.000 0.000 0.000
Mg2 0.750 0.250 0.500
Co1 0.500 0.500 0.000
Rh1 0.250 0.750 0.500
```

Results
M_tot = 1.861 μB/f.u.

---

# 8
The following is a GGA-PBE calculation of a relaxed structure of Pr2MgGe3Rh4, from the Alexandria database.

CIF file:
```
data_Pr2MgGe3Rh4
_symmetry_space_group_name_H-M 'P 1'
_symmetry_Int_Tables_number 1
_symmetry_space_group_name_Hall 'P 1'
_cell_length_a 4.218
_cell_length_b 4.218
_cell_length_c 10.617
_cell_angle_alpha 90.00
_cell_angle_beta 90.00
_cell_angle_gamma 90.00
loop_
_atom_site_label
_atom_site_fract_x
_atom_site_fract_y
_atom_site_fract_z
Pr1 0.000 0.500 0.245
Pr2 0.500 0.000 0.755
Mg1 0.000 0.000 0.500
Ge1 0.000 0.500 0.874
Ge2 0.500 0.000 0.126
Ge3 0.500 0.500 0.500
Rh1 0.000 0.000 0.000
Rh2 0.000 0.500 0.641
Rh3 0.500 0.000 0.359
Rh4 0.500 0.500 0.000
```

Results
M_tot = 0.000 μB/f.u.

---

# 9
The following is a GGA-PBE calculation of a relaxed structure of Cd3CoRh, from the Alexandria database.

CIF file:
```
data_Cd3CoRh
_symmetry_space_group_name_H-M 'P 1'
_symmetry_Int_Tables_number 1
_symmetry_space_group_name_Hall 'P 1'
_cell_length_a 4.794
_cell_length_b 4.794
_cell_length_c 4.794
_cell_angle_alpha 90.00
_cell_angle_beta 90.00
_cell_angle_gamma 90.00
loop_
_atom_site_label
_atom_site_fract_x
_atom_site_fract_y
_atom_site_fract_z
Cd1 0.000 0.000 0.500
Cd2 0.000 0.500 0.000
Cd3 0.500 0.000 0.000
Co1 0.000 0.000 0.000
Rh1 0.500 0.500 0.500
```

Results
M_tot = 0.893 μB/f.u.
E above lowest polymorph = 0 meV per atom

---

# 10
The following is a GGA-PBE calculation of a relaxed structure of RbSbPb3, from the Alexandria database.

CIF file:
```
data_RbSbPb3
_symmetry_space_group_name_H-M 'P 1'
_symmetry_Int_Tables_number 1
_symmetry_space_group_name_Hall 'P 1'
_cell_length_a 6.088
_cell_length_b 6.088
_cell_length_c 6.088
_cell_angle_alpha 90.00
_cell_angle_beta 90.00
_cell_angle_gamma 90.00
loop_
_atom_site_label
_atom_site_fract_x
_atom_site_fract_y
_atom_site_fract_z
Rb1 0.000 0.000 0.000
Sb1 0.500 0.500 0.500
Pb1 0.000 0.000 0.500
Pb2 0.000 0.500 0.000
Pb3 0.500 0.000 0.000
```

Results
M_tot = 0.000 μB/f.u.
uncorrected formation energy = 1.202 eV/atom
E above lowest polymorph = 1355 meV per atom

---

| no. | raw total energy (eV per formula unit) |
| --- | --- |
| 1 | -56.8 |
| 2 | -43.9 |
| 3 | -29.4 |
| 4 | -54.0 |
| 5 | -69.1 |
| 6 | -21.9 |
| 7 | -17.9 |
| 8 | -62.6 |
| 9 | -13.0 |
| 10 | -10.2 |